[1]
This record from Alexandria via LeMat-Bulk describes a relaxed structure of MnCoAg2. The functional is PBE-GGA.

```
MnCoAg2
1.0
-3.827 -1.982 1.013
0.004 -4.104 1.661
-1.090 -0.674 4.238
Ag Co Mn
2 1 1
direct
0.000 0.000 0.000
0.250 0.250 0.250
0.500 0.500 0.500
0.750 0.750 0.750
```

calculated formation energy = 151 kJ/mol of formula units
SG = F-43m, No. 216
ΔE to the lowest computed polymorph = 152 meV/atom
energy = -5.10 eV/atom

[2]
This record from Alexandria via LeMat-Bulk describes a relaxed structure of RbTl3Cu4Br12. The functional is PBE-GGA.

```
RbTl3Cu4Br12
1.0
-7.917 -1.736 5.129
0.256 -6.923 -6.634
7.295 -1.931 5.921
Rb Tl Cu Br
1 3 4 12
direct
0.000 0.000 0.000
0.551 0.449 0.000
0.449 0.000 0.551
0.000 0.551 0.449
0.939 0.061 0.500
0.061 0.500 0.939
0.500 0.939 0.061
0.500 0.500 0.500
0.500 0.347 0.653
0.906 0.500 0.094
0.094 0.906 0.500
0.500 0.094 0.906
0.367 0.999 0.224
0.224 0.367 0.999
0.999 0.224 0.367
0.633 0.776 0.001
0.001 0.633 0.776
0.776 0.001 0.633
0.653 0.500 0.347
0.347 0.653 0.500
```

E_form (uncorrected) = -557 meV/atom
SG = R32, No. 155
energy = -2.78 eV/atom

[3]
This record from Alexandria via LeMat-Bulk describes a relaxed structure of TbSmS. The functional is PBE-GGA.

```
TbSmS
1.0
3.838 0.000 0.000
-1.919 3.323 0.000
0.000 0.000 6.429
S Tb Sm
1 1 1
direct
0.333 0.667 0.662
0.667 0.333 0.408
0.000 0.000 0.930
```

E_form (uncorrected) = -1270 meV/atom
SG = P3m1, No. 156
energy = -5.76 eV/atom

[4]
This record from Alexandria via LeMat-Bulk describes a relaxed structure of Hf2ScPd. The functional is PBE-GGA.

```
Hf2ScPd
1.0
7.842 0.000 0.000
0.000 7.842 0.000
3.921 3.921 2.900
Sc Hf Pd
2 4 2
direct
0.500 0.500 0.000
0.250 0.750 0.500
0.677 0.125 0.250
0.073 0.625 0.250
0.375 0.323 0.750
0.875 0.927 0.750
0.000 0.000 0.000
0.750 0.250 0.500
```

calculated formation energy = -4 kJ/mol of formula units
SG = I-42d, No. 122
ΔE to the lowest computed polymorph = 245 meV/atom
energy = -7.87 eV/atom